Record 1
Below is a relaxed structure of CaAg2Cl, with properties calculated at the GGA-PBEsol level.

Calculated values
The density of states at the Fermi level is 1.157 states/eV/cell. Its symmetry is No. 99. As for the final energy: -13.410 eV/f.u.

Unit cell a=3.6577 b=3.6577 c=6.8207 alpha=90.00 beta=90.00 gamma=90.00
Closest atoms and distances in Å follow each position.
Element x y z (fractional)
Ca 0.0000 0.0000 0.0000  4 Cl 2.82, 1 Ag 2.87
Ag 0.0000 0.0000 0.5797  4 Ag 2.69, 1 Ca 2.87
Ag 0.5000 0.5000 0.6876  4 Ag 2.69
Cl 0.5000 0.5000 0.1640  4 Ca 2.82

Record 2
Below is a relaxed structure of Ta2TcOs, with properties calculated at the GGA-PBEsol level.

Calculated values
The density of states at the Fermi level is 2.044 states/eV/cell. Its symmetry is No. 123. Its formation energy is -0.37 eV/atom. As for the final energy: -50.069 eV/f.u.

Unit cell a=3.1480 b=3.1480 c=6.3164 alpha=90.00 beta=90.00 gamma=90.00
Closest atoms and distances in Å follow each position.
Element x y z (fractional)
Ta 0.0000 0.0000 0.2438  4 Tc 2.71, 4 Os 2.75
Ta 0.0000 0.0000 0.7562  4 Tc 2.71, 4 Os 2.75
Tc 0.5000 0.5000 0.0000  8 Ta 2.71
Os 0.5000 0.5000 0.5000  8 Ta 2.75

Record 3
Below is a relaxed structure of Si3HgRu, with properties calculated at the GGA-PBEsol level.

Calculated values
The density of states at the Fermi level is 7.157 states/eV/cell. Its symmetry is No. 221. As for the final energy: -18.324 eV/f.u.

Unit cell a=4.8160 b=4.8160 c=4.8160 alpha=90.00 beta=90.00 gamma=90.00
Closest atoms and distances in Å follow each position.
Element x y z (fractional)
Si 0.0000 0.0000 0.5000  2 Hg 2.41
Si 0.0000 0.5000 0.0000  2 Hg 2.41
Si 0.5000 0.0000 0.0000  2 Hg 2.41
Hg 0.0000 0.0000 0.0000  6 Si 2.41
Ru 0.5000 0.5000 0.5000  12 Si 3.41